6
Lattice="0.000 4.500 4.500 4.500 0.000 4.500 4.500 4.500 0.000" Properties=species:S:1:pos:R:3 comment="Tl4FeCl GGA-PBE relaxed" total_magnetization_mub_per_atom=0.5311 spacegroup="No. 216" mass_density_g_cm3=8.3 energy_ry_per_atom=-0.209 pbc="T T T"
Tl 1.126 1.126 1.126
Tl 3.374 3.374 1.126
Tl 3.374 1.126 3.374
Tl 1.126 3.374 3.374
Fe 4.500 4.500 4.500
Cl 6.750 6.750 6.750

4
Lattice="4.697 0.000 0.000 0.000 4.697 0.000 0.000 0.000 3.186" Properties=species:S:1:pos:R:3 comment="TlFe2Cl GGA-PBE relaxed" total_magnetization_mub_per_atom=1.4248 spacegroup="No. 123" mass_density_g_cm3=8.3 energy_ry_per_atom=-0.339 pbc="T T T"
Tl 0.000 0.000 0.000
Fe 0.000 2.349 1.593
Fe 2.349 0.000 1.593
Cl 2.349 2.349 0.000

8
Lattice="-3.821 3.821 3.428 3.821 -3.821 3.428 3.821 3.821 -3.428" Properties=species:S:1:pos:R:3 comment="TlFeCl2 GGA-PBE relaxed" total_magnetization_mub_per_atom=0.7500 spacegroup="No. 122" mass_density_g_cm3=5.5 energy_ry_per_atom=-0.299 pbc="T T T"
Tl 0.000 0.000 0.000
Tl 0.000 3.821 1.714
Fe 3.821 0.000 1.714
Fe 0.000 0.000 3.428
Cl 1.910 -1.087 2.571
Cl 2.734 1.910 0.857
Cl 1.910 4.908 -0.857
Cl 1.087 1.910 4.285

What did the second record say?
4
Lattice="4.697 0.000 0.000 0.000 4.697 0.000 0.000 0.000 3.186" Properties=species:S:1:pos:R:3 comment="TlFe2Cl GGA-PBE relaxed" total_magnetization_mub_per_atom=1.4248 spacegroup="No. 123" mass_density_g_cm3=8.3 energy_ry_per_atom=-0.339 pbc="T T T"
Tl 0.000 0.000 0.000
Fe 0.000 2.349 1.593
Fe 2.349 0.000 1.593
Cl 2.349 2.349 0.000

Q: What is the formula in the third record?
A: TlFeCl2